Record 1
Entry from the Alexandria database: KTaB2 after structural relaxation (PBEsol).

Properties
Its formation energy is 1.243 eV per atom.

Cell lengths 6.095, 6.095, 6.095 Å; angles 113.96, 113.96, 100.83 degrees
Fractional coordinates of all 8 atoms:
1 K 0.000 0.000 0.000
2 K 0.750 0.250 0.500
3 Ta 0.250 0.750 0.500
4 Ta 0.500 0.500 0.000
5 B 0.236 0.625 0.111
6 B 0.375 0.486 0.611
7 B 0.514 0.125 0.889
8 B 0.875 0.764 0.389

Record 2
Entry from the Alexandria database: SrMg2 after structural relaxation (PBEsol).

Properties
Its formation energy is 0.028 eV per atom.

Cell lengths 5.652, 5.652, 6.741 Å; angles 90.00, 90.00, 120.00 degrees
Fractional coordinates of all 6 atoms:
1 Sr 0.333 0.667 0.250
2 Sr 0.667 0.333 0.750
3 Mg 0.000 0.000 0.000
4 Mg 0.000 0.000 0.500
5 Mg 0.333 0.667 0.750
6 Mg 0.667 0.333 0.250

Record 3
Entry from the Alexandria database: MgGeO3 after structural relaxation (PBEsol).

Properties
Its raw formation energy is -2.178 eV per atom.

Cell lengths 6.565, 6.565, 5.177 Å; angles 97.83, 97.83, 85.86 degrees
Fractional coordinates of all 20 atoms:
1 Mg 0.092 0.908 0.750
2 Mg 0.271 0.729 0.250
3 Mg 0.729 0.271 0.750
4 Mg 0.908 0.092 0.250
5 Ge 0.205 0.395 0.711
6 Ge 0.395 0.205 0.211
7 Ge 0.605 0.795 0.789
8 Ge 0.795 0.605 0.289
9 O 0.025 0.206 0.631
10 O 0.138 0.627 0.883
11 O 0.206 0.025 0.131
12 O 0.291 0.431 0.402
13 O 0.373 0.862 0.617
14 O 0.431 0.291 0.902
15 O 0.569 0.709 0.098
16 O 0.627 0.138 0.383
17 O 0.709 0.569 0.598
18 O 0.794 0.975 0.869
19 O 0.862 0.373 0.117
20 O 0.975 0.794 0.369

Record 4
Entry from the Alexandria database: KSr2Rh after structural relaxation (PBEsol).

Properties
Its formation energy is 0.469 eV per atom.

Cell lengths 5.571, 5.571, 5.571 Å; angles 60.00, 60.00, 60.00 degrees
Fractional coordinates of all 4 atoms:
1 K 0.000 0.000 0.000
2 Sr 0.500 0.500 0.500
3 Sr 0.750 0.750 0.750
4 Rh 0.250 0.250 0.250

Record 5
Entry from the Alexandria database: LaTb2RuO7 after structural relaxation (PBEsol).

Properties
Its raw formation energy is -2.797 eV per atom.

Cell lengths 6.414, 6.414, 7.444 Å; angles 90.00, 90.00, 69.61 degrees
Fractional coordinates of all 22 atoms:
1 La 0.000 0.000 0.000
2 La 0.000 0.000 0.500
3 Tb 0.076 0.479 0.750
4 Tb 0.479 0.076 0.250
5 Tb 0.521 0.924 0.750
6 Tb 0.924 0.521 0.250
7 Ru 0.500 0.500 0.000
8 Ru 0.500 0.500 0.500
9 O 0.115 0.164 0.250
10 O 0.164 0.115 0.750
11 O 0.185 0.556 0.039
12 O 0.185 0.556 0.461
13 O 0.411 0.589 0.750
14 O 0.444 0.815 0.039
15 O 0.444 0.815 0.461
16 O 0.556 0.185 0.539
17 O 0.556 0.185 0.961
18 O 0.589 0.411 0.250
19 O 0.815 0.444 0.539
20 O 0.815 0.444 0.961
21 O 0.836 0.885 0.250
22 O 0.885 0.836 0.750

Record 6
Entry from the Alexandria database: NiAs2I after structural relaxation (PBEsol).

Properties
Its raw formation energy is 0.825 eV per atom.

Cell lengths 4.736, 4.736, 4.736 Å; angles 60.00, 60.00, 60.00 degrees
Fractional coordinates of all 4 atoms:
1 Ni 0.000 0.000 0.000
2 As 0.250 0.250 0.250
3 As 0.750 0.750 0.750
4 I 0.500 0.500 0.500